Entry 1:
VASP calculation (PBE) on crystalline Si2PtCl at its relaxed geometry.

## Properties
- final energy (hartree per atom) = -0.1763
- density (g/cm³) = 6.7
- energy relative to the elements, uncorrected (eV per atom) = -0.12
- excess energy over the best structure of this formula in the dataset (meV/atom) = 370.1

a = 4.9367 Å, b = 3.2175 Å, c = 5.0595 Å
α = 90.00°, β = 118.53°, γ = 90.00°
Last column: nearest neighbours and their distance in Å.
Atoms (fractional coordinates):
Si (0.0000, 0.0000, 0.0000)  1 Cl 2.23, 2 Pt 2.37
Si (0.2843, 0.5000, 0.4705)  2 Pt 2.51-2.58, 2 Si 2.65
Pt (0.8456, 0.5000, 0.6111)  4 Si 2.37-2.58
Cl (0.6025, 0.0000, 0.0932)  1 Si 2.23

=====

Entry 2:
VASP calculation (PBE) on crystalline SiPt2Cl at its relaxed geometry.

## Properties
- final energy (hartree per atom) = -0.1829
- density (g/cm³) = 11.2
- energy relative to the elements, uncorrected (eV per atom) = -0.14
- excess energy over the best structure of this formula in the dataset (meV/atom) = 178.8

a = 3.3750 Å, b = 5.2410 Å, c = 7.5985 Å
α = 90.00°, β = 90.00°, γ = 90.00°
Last column: nearest neighbours and their distance in Å.
Atoms (fractional coordinates):
Si (0.0000, 0.0000, 0.0000)  4 Pt 2.35
Si (0.5000, 0.5000, 0.0000)  4 Pt 2.35
Pt (0.0000, 0.5000, 0.2150)  2 Si 2.35
Pt (0.0000, 0.5000, 0.7850)  2 Si 2.35
Pt (0.5000, 0.0000, 0.2150)  2 Si 2.35
Pt (0.5000, 0.0000, 0.7850)  2 Si 2.35
Cl (0.0000, 0.0000, 0.5000)  4 Pt 2.75
Cl (0.5000, 0.5000, 0.5000)  4 Pt 2.75

=====

Entry 3:
VASP calculation (PBE) on crystalline Si2PtCl at its relaxed geometry.

## Properties
- final energy (hartree per atom) = -0.1742
- density (g/cm³) = 4.9
- energy relative to the elements, uncorrected (eV per atom) = -0.06
- excess energy over the best structure of this formula in the dataset (meV/atom) = 429.2

a = 5.7194 Å, b = 5.7194 Å, c = 11.9631 Å
α = 90.00°, β = 90.00°, γ = 90.00°
Last column: nearest neighbours and their distance in Å.
Atoms (fractional coordinates):
Si (0.1722, 0.2500, 0.1250)  2 Pt 2.29
Si (0.2500, 0.6722, 0.3750)  2 Pt 2.29
Si (0.2500, 0.8278, 0.8750)  2 Pt 2.29
Si (0.3278, 0.2500, 0.6250)  2 Pt 2.29
Si (0.6722, 0.7500, 0.6250)  2 Pt 2.29
Si (0.7500, 0.1722, 0.8750)  2 Pt 2.29
Si (0.7500, 0.3278, 0.3750)  2 Pt 2.29
Si (0.8278, 0.7500, 0.1250)  2 Pt 2.29
Pt (0.0000, 0.0000, 0.0000)  4 Si 2.29
Pt (0.0000, 0.5000, 0.2500)  4 Si 2.29
Pt (0.5000, 0.0000, 0.7500)  4 Si 2.29
Pt (0.5000, 0.5000, 0.5000)  4 Si 2.29
Cl (0.0000, 0.0000, 0.5000)  4 Si 2.79
Cl (0.0000, 0.5000, 0.7500)  4 Si 2.79
Cl (0.5000, 0.0000, 0.2500)  4 Si 2.79
Cl (0.5000, 0.5000, 0.0000)  4 Si 2.79

=====

Entry 4:
VASP calculation (PBE) on crystalline SiPtCl2 at its relaxed geometry.

## Properties
- final energy (hartree per atom) = -0.1470
- density (g/cm³) = 4.8
- energy relative to the elements, uncorrected (eV per atom) = -0.21
- excess energy over the best structure of this formula in the dataset (meV/atom) = 333.8

a = 3.4137 Å, b = 6.8554 Å, c = 8.6717 Å
α = 90.00°, β = 90.00°, γ = 90.00°
Last column: nearest neighbours and their distance in Å.
Atoms (fractional coordinates):
Si (0.0000, 0.0000, 0.0000)  2 Pt 2.24
Si (0.5000, 0.5000, 0.0000)  2 Pt 2.24
Pt (0.0000, 0.5000, 0.1670)  2 Si 2.24, 2 Cl 2.49
Pt (0.5000, 0.0000, 0.1670)  2 Si 2.24, 2 Cl 2.49
Cl (0.0000, 0.0000, 0.3767)  2 Pt 2.49
Cl (0.0000, 0.5000, 0.7847)  2 Si 2.53
Cl (0.5000, 0.0000, 0.7847)  2 Si 2.53
Cl (0.5000, 0.5000, 0.3767)  2 Pt 2.49